Record 1
Crystalline YReNi at its relaxed geometry, computed with PBE.

abc: 4.106 4.106 3.952
angles: 90.00 90.00 120.00
Fractional positions:
Re1 0.667 0.333 0.167
Ni1 0.000 0.000 0.167
Y1 0.333 0.667 0.667

Values from the calculation:
E_form	0.16	eV per atom


Record 2
Crystalline YRe2Ni at its relaxed geometry, computed with PBE.

abc: 4.515 4.515 4.515
angles: 60.00 60.00 60.00
Fractional positions:
Y1 0.500 0.500 0.500
Re1 0.750 0.750 0.750
Re2 0.250 0.250 0.250
Ni1 0.000 0.000 0.000

Values from the calculation:
E_form	0.81	eV per atom


| no. | relative energy among the computed polymorphs (meV/atom) |
| --- | --- |
| 1 | 0 |
| 2 | 726 |